i) This record from the Alexandria database describes a geometry-optimized La12Ho7Th structure. The functional is PBE.

The space group is R-3 (No. 148, hexagonal axes) and the conventional cell measures 12.5178, 12.5178 and 15.3037 Å, with angles of 90.00, 90.00 and 120.00 degrees. Symmetry generates all atoms from La at (0.0162, 0.4382, 0.2169), La at (0.0634, 0.5961, 0.5816), Ho at (0.0000, 0.0000, 0.0000), Ho at (0.0487, 0.1812, 0.3085) and Th at (0.0000, 0.0000, 0.5000).

The total magnetization comes out at 0.0 μB/cell.


ii) This record from the Alexandria database describes a geometry-optimized La12Ho7Th structure. The functional is PBE.

The space group is R-3m (No. 166, hexagonal axes) and the conventional cell measures 19.6294, 19.6294 and 6.3875 Å, with angles of 90.00, 90.00 and 120.00 degrees. Symmetry generates all atoms from La at (0.0000, 0.4064, 0.0000), La at (0.0960, 0.5480, 0.4733), Ho at (0.0000, 0.0000, 0.0000), Ho at (0.0833, 0.1667, 0.2967) and Th at (0.0000, 0.0000, 0.5000).

The total magnetization comes out at 0.0 μB/cell.


Most stable: i) (next structure +4.0 kJ/mol of atoms)